# 1
## CsCuSbSe3 (GGA-PBE)

Data for a geometry-optimized CsCuSbSe3 structure.

Properties
E_form (uncorrected): -297.1 kJ/mol of formula units
mass density: 4.9 g/cm3
DOS at the Fermi energy: 0.758 states/eV per atom
total DFT energy (no corrections): -45.21 eV for the cell shown

a b c (Å): 9.9425 4.0984 10.0165
angles (deg): 90.00 113.33 90.00
Sites, in units of the cell vectors:
Cs: 0.2090 0.2500 0.2460
Cs: 0.7910 0.7500 0.7540
Cu: 0.0703 0.2500 0.5802
Cu: 0.9297 0.7500 0.4198
Sb: 0.3308 0.7500 0.8560
Sb: 0.6692 0.2500 0.1440
Se: 0.1302 0.2500 0.8473
Se: 0.1955 0.7500 0.5435
Se: 0.4728 0.7500 0.1598
Se: 0.5272 0.2500 0.8402
Se: 0.8045 0.2500 0.4565
Se: 0.8698 0.7500 0.1527

=====

# 2
## In2IrI8 (GGA-PBE)

Data for a geometry-optimized In2IrI8 structure.

Properties
E_form (uncorrected): -291.5 kJ/mol of formula units
mass density: 4.4 g/cm3
DOS at the Fermi energy: 0.103 states/eV per atom
total DFT energy (no corrections): -29.76 eV for the cell shown

a b c (Å): 8.7656 8.7656 7.3414
angles (deg): 94.71 94.71 77.03
Sites, in units of the cell vectors:
In: 0.2030 0.2030 0.1471
In: 0.7970 0.7970 0.8529
Ir: 0.0000 0.0000 0.5000
I: 0.0888 0.7391 0.6852
I: 0.1756 0.1756 0.7657
I: 0.2609 0.9112 0.3148
I: 0.3963 0.3963 0.2749
I: 0.6037 0.6037 0.7251
I: 0.7391 0.0888 0.6852
I: 0.8244 0.8244 0.2343
I: 0.9112 0.2609 0.3148